The following is a DFT calculation (PBEsol) of a geometry-optimized MgIn2Pb structure.

```
4
Lattice="3.266 -0.047 0.000 -1.268 3.011 0.000 0.000 0.000 10.565" Properties=species:S:1:pos:R:3 pbc="T T T"
Pb 0.999 1.482 0.000
In 0.000 0.000 7.769
In 0.000 0.000 2.795
Mg 0.999 1.482 5.282
```

Properties
Energy relative to the elements in kJ/mol of formula units: 3